# 1
DFT (PBE) results for an optimized crystal structure of SrSn3W.

Computed properties:
Mass density (g cm⁻³): 6.9
ΔH_f (0 K) (kJ/mol of atoms): 11
Space-group type: Pm-3m (221)
Final energy (Ry/atom): -0.3831
Crystal system: cubic
Polymorph energy (0 for the lowest one) (eV per formula unit): 0.00

Cell: 5.319 5.319 5.319 Å, 90.00 90.00 90.00°
Positions (direct):
Sn (0.000, 0.000, 0.500)
W (0.000, 0.000, 0.000)
Sn (0.500, 0.000, 0.000)
Sr (0.500, 0.500, 0.500)
Sn (0.000, 0.500, 0.000)

=====

# 2
DFT (PBE) results for an optimized crystal structure of Sr2SnW.

Computed properties:
Mass density (g cm⁻³): 6.6
ΔH_f (0 K) (kJ/mol of atoms): 96
Space-group type: I-42d (122)
Final energy (Ry/atom): -0.3000
Crystal system: tetragonal

Cell: 8.931 8.931 6.989 Å, 50.29 50.29 90.00°
Positions (direct):
W (0.750, 0.250, 0.500)
Sr (0.875, 0.905, 0.750)
W (0.000, 0.000, 0.000)
Sn (0.500, 0.500, 0.000)
Sn (0.250, 0.750, 0.500)
Sr (0.375, 0.345, 0.750)
Sr (0.655, 0.125, 0.250)
Sr (0.095, 0.625, 0.250)

=====

# 3
DFT (PBE) results for an optimized crystal structure of SrSn3W.

Computed properties:
Mass density (g cm⁻³): 5.6
ΔH_f (0 K) (kJ/mol of atoms): 217
Space-group type: Pm-3m (221)
Final energy (Ry/atom): -0.2260
Crystal system: cubic
Polymorph energy (0 for the lowest one) (eV per formula unit): 10.69

Cell: 5.715 5.715 5.715 Å, 90.00 90.00 90.00°
Positions (direct):
Sn (0.500, 0.000, 0.000)
Sr (0.000, 0.000, 0.000)
Sn (0.000, 0.000, 0.500)
W (0.500, 0.500, 0.500)
Sn (0.000, 0.500, 0.000)

=====

# 4
DFT (PBE) results for an optimized crystal structure of SrSnW3.

Computed properties:
Mass density (g cm⁻³): 9.8
ΔH_f (0 K) (kJ/mol of atoms): 221
Space-group type: Pm-3m (221)
Final energy (Ry/atom): -0.4865
Crystal system: cubic
Polymorph energy (0 for the lowest one) (eV per formula unit): 0.00

Cell: 5.042 5.042 5.042 Å, 90.00 90.00 90.00°
Positions (direct):
W (0.000, 0.500, 0.000)
Sn (0.000, 0.000, 0.000)
Sr (0.500, 0.500, 0.500)
W (0.000, 0.000, 0.500)
W (0.500, 0.000, 0.000)

=====

# 5
DFT (PBE) results for an optimized crystal structure of SrSnW3.

Computed properties:
Mass density (g cm⁻³): 11.0
ΔH_f (0 K) (kJ/mol of atoms): 335
Space-group type: Pm-3m (221)
Final energy (Ry/atom): -0.3998
Crystal system: cubic
Polymorph energy (0 for the lowest one) (eV per formula unit): 5.90

Cell: 4.861 4.861 4.861 Å, 90.00 90.00 90.00°
Positions (direct):
Sn (0.500, 0.500, 0.500)
W (0.500, 0.000, 0.000)
W (0.000, 0.000, 0.500)
W (0.000, 0.500, 0.000)
Sr (0.000, 0.000, 0.000)

=====

# 6
DFT (PBE) results for an optimized crystal structure of Sr3YSn6.

Computed properties:
Mass density (g cm⁻³): 5.6
ΔH_f (0 K) (kJ/mol of atoms): -53
Space-group type: R-3c (167)
Final energy (Ry/atom): -0.3015
Crystal system: trigonal

Cell: 8.679 8.679 8.679 Å, 97.41 97.41 97.41°
Positions (direct):
Sr (0.183, 0.750, 0.317)
Sn (0.089, 0.366, 0.009)
Sn (0.634, 0.991, 0.911)
Sn (0.366, 0.009, 0.089)
Sn (0.589, 0.509, 0.866)
Sr (0.750, 0.317, 0.183)
Sr (0.250, 0.683, 0.817)
Sn (0.866, 0.589, 0.509)
Y (0.000, 0.000, 0.000)
Sn (0.911, 0.634, 0.991)
Sn (0.134, 0.411, 0.491)
Sn (0.491, 0.134, 0.411)
Sr (0.817, 0.250, 0.683)
Sn (0.509, 0.866, 0.589)
Sn (0.009, 0.089, 0.366)
Sn (0.991, 0.911, 0.634)
Sr (0.317, 0.183, 0.750)
Sr (0.683, 0.817, 0.250)
Sn (0.411, 0.491, 0.134)
Y (0.500, 0.500, 0.500)

=====

# 7
DFT (PBE) results for an optimized crystal structure of Sr3YSn12.

Computed properties:
Mass density (g cm⁻³): 6.6
ΔH_f (0 K) (kJ/mol of atoms): -39
Space-group type: P4/mmm (123)
Final energy (Ry/atom): -0.3031
Crystal system: tetragonal

Cell: 4.818 4.818 19.376 Å, 90.00 90.00 90.00°
Positions (direct):
Sn (0.000, 0.500, 0.120)
Sn (0.500, 0.000, 0.880)
Sr (0.000, 0.000, 0.246)
Sr (0.000, 0.000, 0.500)
Sn (0.000, 0.500, 0.880)
Sr (0.000, 0.000, 0.754)
Sn (0.500, 0.500, 0.000)
Sn (0.500, 0.500, 0.500)
Y (0.000, 0.000, 0.000)
Sn (0.500, 0.500, 0.247)
Sn (0.000, 0.500, 0.374)
Sn (0.500, 0.500, 0.753)
Sn (0.500, 0.000, 0.374)
Sn (0.500, 0.000, 0.120)
Sn (0.000, 0.500, 0.626)
Sn (0.500, 0.000, 0.626)

=====

# 8
DFT (PBE) results for an optimized crystal structure of Sr2YSn.

Computed properties:
Mass density (g cm⁻³): 4.0
ΔH_f (0 K) (kJ/mol of atoms): 3
Space-group type: I-42d (122)
Final energy (Ry/atom): -0.2515
Crystal system: tetragonal

Cell: 9.673 9.673 7.619 Å, 50.59 50.59 90.00°
Positions (direct):
Sr (0.672, 0.125, 0.250)
Sn (0.750, 0.250, 0.500)
Y (0.500, 0.500, 0.000)
Sn (0.000, 0.000, 0.000)
Sr (0.078, 0.625, 0.250)
Y (0.250, 0.750, 0.500)
Sr (0.375, 0.328, 0.750)
Sr (0.875, 0.922, 0.750)

=====

# 9
DFT (PBE) results for an optimized crystal structure of SrY2Sn.

Computed properties:
Mass density (g cm⁻³): 4.7
ΔH_f (0 K) (kJ/mol of atoms): 3
Space-group type: I-42d (122)
Final energy (Ry/atom): -0.3394
Crystal system: tetragonal

Cell: 4.834 4.834 12.093 Å, 78.47 78.47 90.00°
Positions (direct):
Sr (0.500, 0.500, 0.000)
Y (0.875, 0.905, 0.750)
Y (0.655, 0.125, 0.250)
Y (0.095, 0.625, 0.250)
Sr (0.250, 0.750, 0.500)
Sn (0.000, 0.000, 0.000)
Y (0.375, 0.345, 0.750)
Sn (0.750, 0.250, 0.500)

=====

# 10
DFT (PBE) results for an optimized crystal structure of Sr2YSn2.

Computed properties:
Mass density (g cm⁻³): 4.9
ΔH_f (0 K) (kJ/mol of atoms): -44
Space-group type: P4/mbm (127)
Final energy (Ry/atom): -0.2959
Crystal system: tetragonal
Polymorph energy (0 for the lowest one) (eV per formula unit): 0.00

Cell: 9.219 9.219 4.017 Å, 90.00 90.00 90.00°
Positions (direct):
Sn (0.829, 0.671, 0.000)
Sn (0.671, 0.171, 0.000)
Sr (0.134, 0.634, 0.500)
Y (0.500, 0.500, 0.000)
Sr (0.866, 0.366, 0.500)
Sn (0.329, 0.829, 0.000)
Sr (0.366, 0.134, 0.500)
Sn (0.171, 0.329, 0.000)
Y (0.000, 0.000, 0.000)
Sr (0.634, 0.866, 0.500)

=====

# 11
DFT (PBE) results for an optimized crystal structure of SrYZrSn2.

Computed properties:
Mass density (g cm⁻³): 4.9
ΔH_f (0 K) (kJ/mol of atoms): 123
Space-group type: P4/mmm (123)
Final energy (Ry/atom): -0.2697
Crystal system: tetragonal

Cell: 5.671 5.373 5.671 Å, 90.00 90.00 90.00°
Positions (direct):
Sr (0.000, 0.000, 0.000)
Y (0.000, 0.500, 0.000)
Sn (0.000, 0.000, 0.500)
Sn (0.500, 0.000, 0.000)
Zr (0.500, 0.500, 0.500)

=====

# 12
DFT (PBE) results for an optimized crystal structure of Sr2ZnSn2.

Computed properties:
Mass density (g cm⁻³): 4.5
ΔH_f (0 K) (kJ/mol of atoms): -26
Space-group type: P4/mbm (127)
Final energy (Ry/atom): -0.2058
Crystal system: tetragonal
Polymorph energy (0 for the lowest one) (eV per formula unit): 1.46

Cell: 9.052 9.052 4.288 Å, 90.00 90.00 90.00°
Positions (direct):
Sn (0.112, 0.612, 0.500)
Sn (0.888, 0.388, 0.500)
Sr (0.316, 0.816, 0.000)
Zn (0.500, 0.500, 0.000)
Sn (0.612, 0.888, 0.500)
Zn (0.000, 0.000, 0.000)
Sr (0.684, 0.184, 0.000)
Sn (0.388, 0.112, 0.500)
Sr (0.816, 0.684, 0.000)
Sr (0.184, 0.316, 0.000)

=====

| no. | N(E_F) (states/eV per cell) |
| --- | --- |
| 1 | 3.3 |
| 2 | 7.4 |
| 3 | 9.1 |
| 4 | 6.9 |
| 5 | 6.8 |
| 6 | 7.9 |
| 7 | 8.4 |
| 8 | 8.1 |
| 9 | 6.8 |
| 10 | 6.4 |
| 11 | 5.4 |
| 12 | 7.1 |